This record from Alexandria via LeMat-Bulk describes VAgSn2Os after structural relaxation. The functional is PBE.

DFT formation energy ... 932 meV per atom

Unit cell a=5.0982 b=4.5074 c=5.0982 alpha=90.00 beta=90.00 gamma=90.00
Fractional positions:
1 Os 0.0000 0.5000 0.0000
2 Sn 0.0000 0.0000 0.5000
3 Sn 0.5000 0.0000 0.0000
4 Ag 0.5000 0.5000 0.5000
5 V 0.0000 0.0000 0.0000